DFT (PBE-GGA) results for a relaxed structure of TaMnCrRe2.

The structure in POSCAR format:
```
TaMnCrRe2
1.0
4.4657 0.0000 0.0000
0.0000 4.4657 0.0000
0.0000 0.0000 4.0660
Ta Mn Cr Re
1 1 1 2
Direct
0.0000 0.0000 0.0000 Ta
0.5000 0.5000 0.0000 Mn
0.5000 0.5000 0.5000 Cr
0.0000 0.5000 0.5000 Re
0.5000 0.0000 0.5000 Re
```

Summary:
Mass density in g cm⁻³: 13.522
Total magnetization in μB/atom: 0.000
ΔH_f (0 K) in kJ/mol of formula units: 541

***

DFT (PBE-GGA) results for a relaxed structure of TaMnCrRe.

The structure in POSCAR format:
```
TaMnCrRe
1.0
0.0000 3.0245 3.0245
3.0245 0.0000 3.0245
3.0245 3.0245 0.0000
Ta Mn Cr Re
1 1 1 1
Direct
0.0000 0.0000 0.0000 Ta
0.2500 0.2500 0.2500 Mn
0.7500 0.7500 0.7500 Cr
0.5000 0.5000 0.5000 Re
```

Summary:
Mass density in g cm⁻³: 14.227
Total magnetization in μB/atom: 0.091
ΔH_f (0 K) in kJ/mol of formula units: -16

***

DFT (PBE-GGA) results for a relaxed structure of MnCrReTc.

The structure in POSCAR format:
```
MnCrReTc
1.0
0.0000 2.9933 2.9933
2.9933 0.0000 2.9933
2.9933 2.9933 0.0000
Mn Cr Re Tc
1 1 1 1
Direct
0.0000 0.0000 0.0000 Mn
0.5000 0.5000 0.5000 Cr
0.7500 0.7500 0.7500 Re
0.2500 0.2500 0.2500 Tc
```

Summary:
Mass density in g cm⁻³: 12.109
Total magnetization in μB/atom: 0.683
ΔH_f (0 K) in kJ/mol of formula units: 30

***

DFT (PBE-GGA) results for a relaxed structure of TiMnCrRe.

The structure in POSCAR format:
```
TiMnCrRe
1.0
0.0000 2.9749 2.9749
2.9749 0.0000 2.9749
2.9749 2.9749 0.0000
Ti Mn Cr Re
1 1 1 1
Direct
0.0000 0.0000 0.0000 Ti
0.2500 0.2500 0.2500 Mn
0.7500 0.7500 0.7500 Cr
0.5000 0.5000 0.5000 Re
```

Summary:
Mass density in g cm⁻³: 10.754
Total magnetization in μB/atom: 0.000
ΔH_f (0 K) in kJ/mol of formula units: -78

***

DFT (PBE-GGA) results for a relaxed structure of MnZnCrRe.

The structure in POSCAR format:
```
MnZnCrRe
1.0
0.0000 2.9585 2.9585
2.9585 0.0000 2.9585
2.9585 2.9585 0.0000
Mn Zn Cr Re
1 1 1 1
Direct
0.0000 0.0000 0.0000 Mn
0.7500 0.7500 0.7500 Zn
0.5000 0.5000 0.5000 Cr
0.2500 0.2500 0.2500 Re
```

Summary:
Mass density in g cm⁻³: 11.496
Total magnetization in μB/atom: 0.515
ΔH_f (0 K) in kJ/mol of formula units: 60

***

DFT (PBE-GGA) results for a relaxed structure of MnZnCrRe2.

The structure in POSCAR format:
```
MnZnCrRe2
1.0
4.5011 0.0000 0.0000
0.0000 4.5011 0.0000
0.0000 0.0000 4.2279
Mn Zn Cr Re
1 1 1 2
Direct
0.0000 0.0000 0.0000 Mn
0.0000 0.0000 0.5000 Zn
0.5000 0.5000 0.0000 Cr
0.0000 0.5000 0.5000 Re
0.5000 0.0000 0.5000 Re
```

Summary:
Mass density in g cm⁻³: 10.561
Total magnetization in μB/atom: 0.462
ΔH_f (0 K) in kJ/mol of formula units: 957

***

DFT (PBE-GGA) results for a relaxed structure of MnCrRh2.

The structure in POSCAR format:
```
MnCrRh2
1.0
1.3333 0.7698 8.5104
-1.3333 0.7698 8.5104
0.0000 -1.5395 8.5104
Mn Cr Rh
1 1 2
Direct
0.0000 0.0000 0.0000 Mn
0.2518 0.2518 0.2518 Cr
0.5065 0.5065 0.5065 Rh
0.7466 0.7466 0.7466 Rh
```

Summary:
Mass density in g cm⁻³: 9.910
Total magnetization in μB/atom: 0.416
ΔH_f (0 K) in kJ/mol of formula units: 32

***

DFT (PBE-GGA) results for a relaxed structure of Mn2CrRh.

The structure in POSCAR format:
```
Mn2CrRh
1.0
2.6363 0.0000 0.0000
0.0000 3.5765 0.0000
0.0000 0.0000 5.2635
Mn Cr Rh
2 1 1
Direct
0.0000 0.0000 0.0000 Mn
0.5000 0.5000 0.2263 Mn
0.5000 0.5000 0.7459 Cr
0.0000 0.0000 0.5015 Rh
```

Summary:
Mass density in g cm⁻³: 8.859
Total magnetization in μB/atom: 0.087
ΔH_f (0 K) in kJ/mol of formula units: 9

***

DFT (PBE-GGA) results for a relaxed structure of MnCrRh5.

The structure in POSCAR format:
```
MnCrRh5
1.0
4.4985 -2.6857 0.0000
4.4985 2.6857 0.0000
-2.3424 0.0000 8.7181
Mn Cr Rh
2 2 10
Direct
0.1347 0.8653 0.7500 Mn
0.8653 0.1347 0.2500 Mn
0.0000 0.5000 0.0000 Cr
0.5000 0.0000 0.5000 Cr
0.1740 0.3245 0.7333 Rh
0.2265 0.5626 0.5054 Rh
0.3245 0.1740 0.2333 Rh
0.3275 0.6725 0.2500 Rh
0.4374 0.7735 0.9946 Rh
0.5626 0.2265 0.0054 Rh
0.6725 0.3275 0.7500 Rh
0.6755 0.8260 0.7667 Rh
0.7735 0.4374 0.4946 Rh
0.8260 0.6755 0.2667 Rh
```

Summary:
Mass density in g cm⁻³: 9.798
Total magnetization in μB/atom: 0.770
ΔH_f (0 K) in kJ/mol of formula units: 109

***

DFT (PBE-GGA) results for a relaxed structure of Mn3CrRh4.

The structure in POSCAR format:
```
Mn3CrRh4
1.0
3.0096 0.0000 0.0000
0.0000 4.3157 0.0000
0.0000 0.0000 8.6243
Mn Cr Rh
3 1 4
Direct
0.0000 0.0000 0.0000 Mn
0.0000 0.5000 0.2494 Mn
0.0000 0.5000 0.7506 Mn
0.0000 0.0000 0.5000 Cr
0.5000 0.0000 0.2537 Rh
0.5000 0.0000 0.7463 Rh
0.5000 0.5000 0.0000 Rh
0.5000 0.5000 0.5000 Rh
```

Summary:
Mass density in g cm⁻³: 9.316
Total magnetization in μB/atom: 1.927
ΔH_f (0 K) in kJ/mol of formula units: -98

***

DFT (PBE-GGA) results for a relaxed structure of Mn2CrRh.

The structure in POSCAR format:
```
Mn2CrRh
1.0
-1.8265 1.8265 3.7526
1.8265 -1.8265 3.7526
1.8265 1.8265 -3.7526
Mn Cr Rh
2 1 1
Direct
0.0000 0.0000 0.0000 Mn
0.7500 0.2500 0.5000 Mn
0.5000 0.5000 0.0000 Cr
0.2500 0.7500 0.5000 Rh
```

Summary:
Mass density in g cm⁻³: 8.780
Total magnetization in μB/atom: 0.512
ΔH_f (0 K) in kJ/mol of formula units: 10

***

DFT (PBE-GGA) results for a relaxed structure of MnCrRh2.

The structure in POSCAR format:
```
MnCrRh2
1.0
2.7425 0.0000 0.0000
0.0000 3.6783 0.0000
0.0000 0.0000 5.3528
Mn Cr Rh
1 1 2
Direct
0.0000 0.0000 0.0000 Mn
0.5000 0.5000 0.7443 Cr
0.0000 0.0000 0.5131 Rh
0.5000 0.5000 0.2344 Rh
```

Summary:
Mass density in g cm⁻³: 9.618
Total magnetization in μB/atom: 0.241
ΔH_f (0 K) in kJ/mol of formula units: -15

***

- Which of these has the highest mass density?
  TaMnCrRe